Entry 1:
Here is an optimized crystal structure of AcLa2Ce3N6 from Alexandria. Energies are from PBE-GGA.

E_form (uncorrected) = -1.371 eV/atom
M_tot = 0.00 μB/cell

a = 3.661 Å, b = 7.368 Å, c = 8.231 Å
α = 103.50°, β = 102.85°, γ = 90.00°
Fractional coordinates of all 12 atoms:
Ac 0.500 0.000 0.000
La 0.832 0.664 0.664
N 0.006 0.727 0.013
N 0.663 0.596 0.326
La 0.168 0.336 0.336
N 0.324 0.929 0.649
N 0.676 0.071 0.351
Ce 0.832 0.168 0.663
Ce 0.500 0.500 0.000
N 0.337 0.404 0.674
N 0.994 0.273 0.987
Ce 0.168 0.832 0.337

Entry 2:
Here is an optimized crystal structure of AcLa2CeN4 from Alexandria. Energies are from PBE-GGA.

E_form (uncorrected) = -1.274 eV/atom
M_tot = 0.19 μB/cell

a = 3.743 Å, b = 6.498 Å, c = 6.461 Å
α = 109.44°, β = 90.00°, γ = 90.00°
Fractional coordinates of all 8 atoms:
N 0.000 0.774 0.240
Ac 0.500 0.500 0.000
N 0.500 0.764 0.757
La 0.000 0.500 0.500
Ce 0.000 0.000 0.000
N 0.500 0.236 0.243
La 0.500 0.000 0.500
N 0.000 0.226 0.760

Entry 3:
Here is an optimized crystal structure of AcLaCeN3 from Alexandria. Energies are from PBE-GGA.

E_form (uncorrected) = -1.232 eV/atom
M_tot = 1.88 μB/cell

a = 3.718 Å, b = 6.380 Å, c = 9.562 Å
α = 101.85°, β = 90.00°, γ = 90.00°
Fractional coordinates of all 12 atoms:
N 0.750 0.548 0.174
Ac 0.250 0.342 0.305
La 0.750 0.233 0.955
La 0.250 0.767 0.045
N 0.750 0.041 0.160
Ce 0.250 0.144 0.645
N 0.250 0.959 0.840
N 0.250 0.763 0.485
Ac 0.750 0.658 0.695
N 0.750 0.237 0.515
N 0.250 0.452 0.826
Ce 0.750 0.856 0.355

Entry 4:
Here is an optimized crystal structure of Ac4LaCe3N8 from Alexandria. Energies are from PBE-GGA.

E_form (uncorrected) = -1.243 eV/atom
M_tot = 0.00 μB/cell

a = 7.465 Å, b = 7.520 Å, c = 7.465 Å
α = 119.76°, β = 120.00°, γ = 90.00°
Fractional coordinates of all 16 atoms:
Ce 0.000 0.500 0.500
Ce 0.500 0.500 0.000
Ce 0.500 0.500 0.500
N 0.754 0.280 0.027
N 0.261 0.283 0.522
N 0.246 0.720 0.973
N 0.246 0.720 0.493
Ac 0.500 0.000 0.500
Ac 0.000 0.000 0.000
Ac 0.500 0.000 0.000
N 0.727 0.720 0.973
N 0.273 0.280 0.027
N 0.754 0.280 0.507
La 0.000 0.500 0.000
Ac 0.000 0.000 0.500
N 0.739 0.717 0.478

Entry 5:
Here is an optimized crystal structure of AcLaCeNd from Alexandria. Energies are from PBE-GGA.

E_form = 210 meV/atom
M_tot = 3.12 μB/cell

a = 5.964 Å, b = 5.964 Å, c = 5.964 Å
α = 60.00°, β = 60.00°, γ = 60.00°
Fractional coordinates of all 4 atoms:
Nd 0.500 0.500 0.500
Ac 0.250 0.250 0.250
La 0.750 0.750 0.750
Ce 0.000 0.000 0.000

Entry 6:
Here is an optimized crystal structure of AcLa2CeO6 from Alexandria. Energies are from PBE-GGA.

E_form (uncorrected) = -3.141 eV/atom
M_tot = 0.91 μB/cell

a = 5.990 Å, b = 5.666 Å, c = 5.666 Å
α = 90.00°, β = 90.00°, γ = 90.00°
Fractional coordinates of all 10 atoms:
O 0.147 0.500 0.500
O 0.757 0.756 0.244
O 0.757 0.244 0.244
La 0.979 0.000 0.500
La 0.979 0.500 0.000
Ce 0.569 0.000 0.000
O 0.757 0.244 0.756
Ac 0.539 0.500 0.500
O 0.207 0.000 0.000
O 0.757 0.756 0.756

Entry 7:
Here is an optimized crystal structure of Ac4La3CeP8 from Alexandria. Energies are from PBE-GGA.

E_form = -1500 meV/atom
M_tot = 0.56 μB/cell

a = 8.679 Å, b = 8.685 Å, c = 8.680 Å
α = 119.98°, β = 120.00°, γ = 90.00°
Fractional coordinates of all 16 atoms:
P 0.758 0.264 0.515
La 0.000 0.500 0.500
P 0.253 0.260 0.507
Ac 0.500 0.000 0.000
La 0.500 0.500 0.000
P 0.758 0.264 0.007
P 0.751 0.736 0.993
P 0.747 0.740 0.493
Ac 0.000 0.000 0.500
Ac 0.500 0.000 0.500
Ac 0.000 0.000 0.000
P 0.242 0.736 0.485
P 0.242 0.736 0.993
Ce 0.000 0.500 0.000
P 0.249 0.264 0.007
La 0.500 0.500 0.500

Entry 8:
Here is an optimized crystal structure of Ac4LaCe3P8 from Alexandria. Energies are from PBE-GGA.

E_form = -1469 meV/atom
M_tot = 1.82 μB/cell

a = 8.578 Å, b = 8.596 Å, c = 8.578 Å
α = 119.93°, β = 120.00°, γ = 90.00°
Fractional coordinates of all 16 atoms:
P 0.262 0.269 0.015
Ce 0.500 0.500 0.500
P 0.753 0.269 0.015
Ac 0.000 0.000 0.500
P 0.743 0.728 0.485
P 0.247 0.731 0.493
P 0.753 0.269 0.507
P 0.257 0.272 0.515
P 0.247 0.731 0.985
Ce 0.500 0.500 0.000
P 0.738 0.731 0.985
Ac 0.500 0.000 0.000
Ac 0.000 0.000 0.000
Ac 0.500 0.000 0.500
Ce 0.000 0.500 0.500
La 0.000 0.500 0.000

Entry 9:
Here is an optimized crystal structure of Ac2La3CeP6 from Alexandria. Energies are from PBE-GGA.

E_form = -1513 meV/atom
M_tot = 0.56 μB/cell

a = 7.460 Å, b = 7.460 Å, c = 7.456 Å
α = 99.61°, β = 99.61°, γ = 119.97°
Fractional coordinates of all 12 atoms:
Ce 0.000 0.000 0.000
P 0.235 0.235 0.748
La 0.833 0.167 0.500
P 0.916 0.596 0.748
La 0.167 0.833 0.500
P 0.765 0.765 0.252
La 0.500 0.500 0.500
P 0.084 0.404 0.252
Ac 0.666 0.334 0.000
Ac 0.334 0.666 0.000
P 0.596 0.916 0.748
P 0.404 0.084 0.252

Entry 10:
Here is an optimized crystal structure of AcLa4Ce3P8 from Alexandria. Energies are from PBE-GGA.

E_form = -1515 meV/atom
M_tot = 1.78 μB/cell

a = 8.462 Å, b = 8.464 Å, c = 8.462 Å
α = 119.99°, β = 120.00°, γ = 90.00°
Fractional coordinates of all 16 atoms:
La 0.500 0.000 0.500
Ce 0.500 0.500 0.500
P 0.747 0.255 0.009
P 0.254 0.261 0.508
La 0.000 0.000 0.000
P 0.253 0.744 0.507
La 0.500 0.000 0.000
P 0.253 0.745 0.991
Ce 0.500 0.500 0.000
P 0.747 0.256 0.493
Ac 0.000 0.500 0.000
La 0.000 0.000 0.500
P 0.262 0.255 0.009
P 0.746 0.739 0.492
Ce 0.000 0.500 0.500
P 0.738 0.745 0.991

Entry 11:
Here is an optimized crystal structure of AcLaCePb from Alexandria. Energies are from PBE-GGA.

E_form = -74 meV/atom
M_tot = 1.45 μB/cell

a = 5.750 Å, b = 5.750 Å, c = 5.750 Å
α = 60.00°, β = 60.00°, γ = 60.00°
Fractional coordinates of all 4 atoms:
Pb 0.250 0.250 0.250
Ce 0.000 0.000 0.000
Ac 0.750 0.750 0.750
La 0.500 0.500 0.500

Entry 12:
Here is an optimized crystal structure of AcLaCePm from Alexandria. Energies are from PBE-GGA.

E_form = 227 meV/atom
M_tot = 3.01 μB/cell

a = 5.960 Å, b = 5.960 Å, c = 5.960 Å
α = 60.00°, β = 60.00°, γ = 60.00°
Fractional coordinates of all 4 atoms:
Ac 0.750 0.750 0.750
Ce 0.250 0.250 0.250
Pm 0.500 0.500 0.500
La 0.000 0.000 0.000

- Look up the M_tot of the seventh one.
  0.56 μB/cell

Copy entry 4 word for word.
Here is an optimized crystal structure of Ac4LaCe3N8 from Alexandria. Energies are from PBE-GGA.

E_form (uncorrected) = -1.243 eV/atom
M_tot = 0.00 μB/cell

a = 7.465 Å, b = 7.520 Å, c = 7.465 Å
α = 119.76°, β = 120.00°, γ = 90.00°
Fractional coordinates of all 16 atoms:
Ce 0.000 0.500 0.500
Ce 0.500 0.500 0.000
Ce 0.500 0.500 0.500
N 0.754 0.280 0.027
N 0.261 0.283 0.522
N 0.246 0.720 0.973
N 0.246 0.720 0.493
Ac 0.500 0.000 0.500
Ac 0.000 0.000 0.000
Ac 0.500 0.000 0.000
N 0.727 0.720 0.973
N 0.273 0.280 0.027
N 0.754 0.280 0.507
La 0.000 0.500 0.000
Ac 0.000 0.000 0.500
N 0.739 0.717 0.478

- Among the records above, which one has the highest M_tot?
  AcLaCeNd